# 1
Co2PdCl | the Alexandria database | meta-GGA SCAN | PBEsol geometry; space group = Fm-3m, No. 225; total magnetization = 4.17 μB per cell; raw formation energy = 247 kJ/mol of formula units
1.0
-2.299 3.506 -0.371
-3.768 0.252 1.857
-0.543 2.522 3.325
Co Cl Pd
2 1 1
Cartesian
-1.652 1.570 1.203 Co
-4.957 4.710 3.608 Co
0.000 0.000 0.000 Cl
-3.305 3.140 2.405 Pd


# 2
Nb2HgPbBr | the Alexandria database | meta-GGA SCAN | PBEsol geometry; space group = P4/mmm, No. 123; total magnetization = 6.15 μB per cell; raw formation energy = 680 kJ/mol of formula units
1.0
-4.841 -0.335 -2.191
-0.081 -5.233 0.979
-2.282 0.951 4.896
Nb Hg Pb Br
2 1 1 1
Cartesian
-2.420 -0.167 -1.096 Nb
-0.041 -2.616 0.489 Nb
0.000 0.000 0.000 Hg
-1.141 0.476 2.448 Pb
-3.602 -2.308 1.842 Br


# 3
MoRuW2 | the Alexandria database | meta-GGA SCAN | PBEsol geometry; space group = R-3m, No. 166; total magnetization = 0.00 μB per cell; calculated formation energy = 310 meV per atom; E above lowest polymorph = 152 meV per atom
1.0
-2.681 0.519 -0.343
-1.461 -1.455 -1.823
-3.426 -6.519 5.870
Mo Ru W
1 1 2
Cartesian
-3.784 -3.727 1.852 Mo
0.000 0.000 0.000 Ru
-5.702 -5.670 2.862 W
-1.866 -1.785 0.842 W


# 4
TlAu | the Alexandria database | meta-GGA SCAN | PBEsol geometry; space group = Pmmn, No. 59; total magnetization = 0.00 μB per cell; calculated formation energy = -2 meV per atom
1.0
-0.283 -3.102 2.490
-1.191 -2.162 -2.829
6.047 -1.608 -1.316
Au Tl
2 2
Cartesian
2.981 -0.793 -0.649 Au
2.329 -3.447 -0.837 Au
0.714 -1.778 1.059 Tl
4.596 -2.461 -2.545 Tl


# 5
Co4TeSe | the Alexandria database | meta-GGA SCAN | PBEsol geometry; space group = F-43m, No. 216; total magnetization = 6.95 μB per cell; raw formation energy = 308 kJ/mol of formula units
1.0
-3.642 -2.016 2.567
0.911 -3.746 3.009
-0.226 0.643 4.843
Co Se Te
4 1 1
Cartesian
-1.735 -3.520 4.092 Co
-1.848 -3.199 6.511 Co
-0.029 -2.192 5.229 Co
-2.303 -1.328 5.008 Co
-0.739 -1.280 2.605 Se
0.000 0.000 0.000 Te


# 6
SrCl | the Alexandria database | meta-GGA SCAN | PBEsol geometry; space group = P6_3mc, No. 186; total magnetization = 1.74 μB per cell; raw formation energy = -343 kJ/mol of formula units
1.0
-2.569 -2.623 2.052
3.846 -1.276 -1.126
3.383 3.034 8.115
Cl Sr
2 2
Cartesian
2.848 0.766 8.856 Cl
3.295 -0.302 3.739 Cl
1.802 -0.172 6.348 Sr
2.249 -1.240 1.231 Sr